Ce3SI7: relaxed, PBE-GGA.

## Properties
The spin magnetization is 0.27 μB/atom. The total energy is -4.403 eV per atom.

Geometry as POSCAR:
```
Ce3SI7
1.0
-4.0740 5.0194 -3.7056
2.3706 -3.8646 -7.8411
-7.4240 -2.8013 4.3675
Ce S I
3 1 7
direct
0.7693 0.4912 0.5088
0.7693 0.4912 0.9824
0.7693 0.0176 0.5088
0.6133 0.3333 0.6667
0.0205 0.1677 0.8323
0.0205 0.1677 0.3354
0.0161 0.6667 0.3333
0.5387 0.8301 0.1699
0.5387 0.3399 0.1699
0.5387 0.8301 0.6601
0.0205 0.6646 0.8323
```